Record 1
A relaxed structure of CaTbHg. Source: Alexandria, functional GGA-PBE.

Geometry as CIF:
```
data_CaTbHg
_symmetry_space_group_name_H-M 'F -4 3 m'
_symmetry_Int_Tables_number 216
_symmetry_space_group_name_Hall 'F -4 2 3'
_cell_length_a 7.3080
_cell_length_b 7.3080
_cell_length_c 7.3080
_cell_angle_alpha 90.00
_cell_angle_beta 90.00
_cell_angle_gamma 90.00
loop_
_atom_site_label
_atom_site_type_symbol
_atom_site_fract_x
_atom_site_fract_y
_atom_site_fract_z
_atom_site_occupancy
Ca1 Ca 0.0000 0.0000 0.0000 1
Tb1 Tb 0.0000 0.0000 0.5000 1
Hg1 Hg 0.2500 0.2500 0.7500 1
```

Values from the calculation:
The value obtained for the calculated volume is 97.6 Å³/f.u. As for the density of states at the Fermi level: 1.48 states/eV per atom. The value obtained for the energy above the most stable polymorph in this dataset is 131 meV/atom. Its total energy is -2.4795 eV/atom. The calculation puts the formation enthalpy at 0 K at -0.1683 eV/atom. The crystal system is cubic.

Record 2
A relaxed structure of Y6AsP5. Source: Alexandria, functional GGA-PBE.

Geometry as CIF:
```
data_Y6AsP5
_symmetry_space_group_name_H-M 'C 1 2/m 1'
_symmetry_Int_Tables_number 12
_symmetry_space_group_name_Hall '-C 2y'
_cell_length_a 6.9880
_cell_length_b 12.0983
_cell_length_c 6.9841
_cell_angle_alpha 90.00
_cell_angle_beta 109.48
_cell_angle_gamma 90.00
loop_
_atom_site_label
_atom_site_type_symbol
_atom_site_fract_x
_atom_site_fract_y
_atom_site_fract_z
_atom_site_occupancy
Y1 Y 0.2463 0.0000 0.2522 1
Y2 Y 0.2470 0.1689 0.7477 1
As1 As 0.0000 0.5000 0.0000 1
P1 P 0.0000 0.0000 0.5000 1
P2 P 0.0000 0.1667 0.0000 1
P3 P 0.0000 0.3343 0.5000 1
```

Values from the calculation:
The value obtained for the calculated volume is 278.3 Å³/f.u. As for the density of states at the Fermi level: 0.09 states/eV per atom. Its total energy is -7.4886 eV/atom. The calculation puts the formation enthalpy at 0 K at -1.6150 eV/atom. The crystal system is monoclinic.

Record 3
A relaxed structure of AsIrCl. Source: Alexandria, functional GGA-PBE.

Geometry as CIF:
```
data_AsIrCl
_symmetry_space_group_name_H-M 'I 4 m m'
_symmetry_Int_Tables_number 107
_symmetry_space_group_name_Hall 'I 4 -2'
_cell_length_a 3.0254
_cell_length_b 3.0254
_cell_length_c 13.5157
_cell_angle_alpha 90.00
_cell_angle_beta 90.00
_cell_angle_gamma 90.00
loop_
_atom_site_label
_atom_site_type_symbol
_atom_site_fract_x
_atom_site_fract_y
_atom_site_fract_z
_atom_site_occupancy
As1 As 0.0000 0.0000 0.0000 1
Ir1 Ir 0.0000 0.0000 0.3933 1
Cl1 Cl 0.0000 0.0000 0.7577 1
```

Values from the calculation:
The value obtained for the calculated volume is 61.9 Å³/f.u. As for the density of states at the Fermi level: 0.81 states/eV per atom. The formation energy (no corrections) is 151 meV per atom. The value obtained for the energy above the most stable polymorph in this dataset is 319 meV/atom. Its total energy is -4.9683 eV/atom. The crystal system is tetragonal.

Record 4
A relaxed structure of YHoSiPd. Source: Alexandria, functional GGA-PBE.

Geometry as CIF:
```
data_YHoSiPd
_symmetry_space_group_name_H-M 'F -4 3 m'
_symmetry_Int_Tables_number 216
_symmetry_space_group_name_Hall 'F -4 2 3'
_cell_length_a 7.0286
_cell_length_b 7.0286
_cell_length_c 7.0286
_cell_angle_alpha 90.00
_cell_angle_beta 90.00
_cell_angle_gamma 90.00
loop_
_atom_site_label
_atom_site_type_symbol
_atom_site_fract_x
_atom_site_fract_y
_atom_site_fract_z
_atom_site_occupancy
Y1 Y 0.0000 0.0000 0.0000 1
Ho1 Ho 0.0000 0.0000 0.5000 1
Si1 Si 0.2500 0.2500 0.2500 1
Pd1 Pd 0.2500 0.2500 0.7500 1
```

Values from the calculation:
The value obtained for the calculated volume is 86.8 Å³/f.u. As for the density of states at the Fermi level: 0.42 states/eV per atom. The formation energy (no corrections) is -738 meV per atom. The value obtained for the energy above the most stable polymorph in this dataset is 111 meV/atom. Its total energy is -6.1522 eV/atom. The crystal system is cubic.

Record 5
A relaxed structure of Cs2VCu2I6. Source: Alexandria, functional GGA-PBE.

Geometry as CIF:
```
data_Cs2VCu2I6
_symmetry_space_group_name_H-M 'C 1 2/m 1'
_symmetry_Int_Tables_number 12
_symmetry_space_group_name_Hall '-C 2y'
_cell_length_a 14.3339
_cell_length_b 8.2690
_cell_length_c 8.8451
_cell_angle_alpha 90.00
_cell_angle_beta 122.13
_cell_angle_gamma 90.00
loop_
_atom_site_label
_atom_site_type_symbol
_atom_site_fract_x
_atom_site_fract_y
_atom_site_fract_z
_atom_site_occupancy
Cs1 Cs 0.2332 0.0000 0.2029 1
V1 V 0.0000 0.0000 0.5000 1
Cu1 Cu 0.0971 0.5000 0.2959 1
I1 I 0.0030 0.2360 0.7404 1
I2 I 0.2359 0.0000 0.7325 1
```

Values from the calculation:
The value obtained for the calculated volume is 443.9 Å³/f.u. The formation energy (no corrections) is -689 meV per atom. Its total energy is -3.2633 eV/atom. The crystal system is monoclinic.

Record 6
A relaxed structure of Er2BeGaPd6. Source: Alexandria, functional GGA-PBE.

Geometry as CIF:
```
data_Er2BeGaPd6
_symmetry_space_group_name_H-M 'P -1'
_symmetry_Int_Tables_number 2
_symmetry_space_group_name_Hall '-P 1'
_cell_length_a 5.6586
_cell_length_b 5.7208
_cell_length_c 6.7017
_cell_angle_alpha 72.18
_cell_angle_beta 71.39
_cell_angle_gamma 60.81
loop_
_atom_site_label
_atom_site_type_symbol
_atom_site_fract_x
_atom_site_fract_y
_atom_site_fract_z
_atom_site_occupancy
Er1 Er 0.1606 0.3219 0.2619 1
Be1 Be 0.0000 0.0000 0.0000 1
Ga1 Ga 0.5000 0.5000 0.5000 1
Pd1 Pd 0.1137 0.8358 0.3160 1
Pd2 Pd 0.3228 0.6497 0.8531 1
Pd3 Pd 0.3288 0.1612 0.8287 1
```

Values from the calculation:
The value obtained for the calculated volume is 176.5 Å³/f.u. As for the density of states at the Fermi level: 0.27 states/eV per atom. Its total energy is -5.4073 eV/atom. The calculation puts the formation enthalpy at 0 K at -0.7037 eV/atom. The crystal system is triclinic.

Record 7
A relaxed structure of TlOsRh2. Source: Alexandria, functional GGA-PBE.

Geometry as CIF:
```
data_TlOsRh2
_symmetry_space_group_name_H-M 'C m m 2'
_symmetry_Int_Tables_number 35
_symmetry_space_group_name_Hall 'C 2 -2'
_cell_length_a 2.8546
_cell_length_b 4.9311
_cell_length_c 9.4625
_cell_angle_alpha 90.00
_cell_angle_beta 90.00
_cell_angle_gamma 90.00
loop_
_atom_site_label
_atom_site_type_symbol
_atom_site_fract_x
_atom_site_fract_y
_atom_site_fract_z
_atom_site_occupancy
Tl1 Tl 0.0000 0.0000 0.0000 1
Os1 Os 0.0000 0.5000 0.2724 1
Rh1 Rh 0.0000 0.0000 0.5035 1
Rh2 Rh 0.0000 0.5000 0.7441 1
```

Values from the calculation:
The value obtained for the calculated volume is 66.6 Å³/f.u. As for the density of states at the Fermi level: 1.52 states/eV per atom. The value obtained for the energy above the most stable polymorph in this dataset is 486 meV/atom. Its total energy is -6.3669 eV/atom. The calculation puts the formation enthalpy at 0 K at 0.7078 eV/atom. The crystal system is orthorhombic.

Record 8
A relaxed structure of SbAsOF2. Source: Alexandria, functional GGA-PBE.

Geometry as CIF:
```
data_SbAsOF2
_symmetry_space_group_name_H-M 'P 4/m m m'
_symmetry_Int_Tables_number 123
_symmetry_space_group_name_Hall '-P 4 2'
_cell_length_a 4.4087
_cell_length_b 4.4087
_cell_length_c 4.0440
_cell_angle_alpha 90.00
_cell_angle_beta 90.00
_cell_angle_gamma 90.00
loop_
_atom_site_label
_atom_site_type_symbol
_atom_site_fract_x
_atom_site_fract_y
_atom_site_fract_z
_atom_site_occupancy
Sb1 Sb 0.0000 0.0000 0.0000 1
As1 As 0.5000 0.5000 0.5000 1
O1 O 0.5000 0.5000 0.0000 1
F1 F 0.0000 0.5000 0.5000 1
```

Values from the calculation:
The value obtained for the calculated volume is 78.6 Å³/f.u. As for the density of states at the Fermi level: 0.52 states/eV per atom. The formation energy (no corrections) is -752 meV per atom. The value obtained for the energy above the most stable polymorph in this dataset is 52 meV/atom. Its total energy is -4.2461 eV/atom. The crystal system is tetragonal.

Which of these has the lowest calculated volume?
AsIrCl

Which of these has the lowest calculated volume?
AsIrCl

The highest calculated volume belongs to which entry?
Cs2VCu2I6